(1)
TiIn3P | GGA-PBE | relaxed

abc: 5.3374 5.3374 5.3374
angles: 90.00 90.00 90.00
Last column: nearest neighbours and their distance in Å.
Atoms (fractional coordinates):
In1 0.0000 0.0000 0.5000  2 Ti 2.67
In2 0.5000 0.0000 0.0000  2 Ti 2.67
In3 0.0000 0.5000 0.0000  2 Ti 2.67
Ti1 0.0000 0.0000 0.0000  6 In 2.67
P1 0.5000 0.5000 0.5000  12 In 3.77

## Properties
Total energy (eV per atom): -3.40
SG: Pm-3m, No. 221
Theoretical density (g/cm3): 4.623
ΔE_f (eV/atom): 0.91
Distance to the lowest polymorph of the same formula (meV/atom): 145

=====

(2)
TiInP2 | GGA-PBE | relaxed

abc: 5.8584 5.8584 7.0111
angles: 65.30 65.30 90.00
Last column: nearest neighbours and their distance in Å.
Atoms (fractional coordinates):
Ti1 0.2500 0.7500 0.5000  4 P 2.42
Ti2 0.5000 0.5000 0.0000  4 P 2.42
In1 0.0000 0.0000 0.0000  4 P 2.60
In2 0.7500 0.2500 0.5000  4 P 2.60
P1 0.3750 0.4024 0.7500  2 Ti 2.42, 2 In 2.60
P2 0.5976 0.1250 0.2500  2 Ti 2.42, 2 In 2.60
P3 0.1524 0.6250 0.2500  2 Ti 2.42, 2 In 2.60
P4 0.8750 0.8476 0.7500  2 Ti 2.42, 2 In 2.60

## Properties
Total energy (eV per atom): -5.63
SG: I-42d, No. 122
Theoretical density (g/cm3): 3.843
ΔE_f (eV/atom): -0.27

=====

(3)
Ti2InP2 | GGA-PBE | relaxed

abc: 7.1004 7.1004 3.2328
angles: 90.00 90.00 90.00
Last column: nearest neighbours and their distance in Å.
Atoms (fractional coordinates):
P1 0.3633 0.8633 0.0000  6 Ti 2.58-2.72, 1 P 2.74, 2 In 2.76
P2 0.1367 0.3633 0.0000  6 Ti 2.58-2.72, 1 P 2.74, 2 In 2.76
P3 0.6367 0.1367 0.0000  6 Ti 2.58-2.72, 1 P 2.74, 2 In 2.76
P4 0.8633 0.6367 0.0000  6 Ti 2.58-2.72, 1 P 2.74, 2 In 2.76
Ti1 0.1459 0.6459 0.5000  6 P 2.58-2.72
Ti2 0.3541 0.1459 0.5000  6 P 2.58-2.72
Ti3 0.8541 0.3541 0.5000  6 P 2.58-2.72
Ti4 0.6459 0.8541 0.5000  6 P 2.58-2.72
In1 0.0000 0.0000 0.0000  4 P 2.76
In2 0.5000 0.5000 0.0000  4 P 2.76

## Properties
Total energy (eV per atom): -6.42
SG: P4/mbm, No. 127
Theoretical density (g/cm3): 5.553
ΔE_f (eV/atom): -0.55

=====

(4)
Ti3InP | GGA-PBE | relaxed

abc: 4.5685 4.5685 4.5685
angles: 90.00 90.00 90.00
Last column: nearest neighbours and their distance in Å.
Atoms (fractional coordinates):
P1 0.0000 0.0000 0.0000  6 Ti 2.28
Ti1 0.5000 0.0000 0.0000  2 P 2.28
Ti2 0.0000 0.0000 0.5000  2 P 2.28
Ti3 0.0000 0.5000 0.0000  2 P 2.28
In1 0.5000 0.5000 0.5000  12 Ti 3.23

## Properties
Total energy (eV per atom): -6.74
SG: Pm-3m, No. 221
Theoretical density (g/cm3): 5.040
ΔE_f (eV/atom): -0.37
Distance to the lowest polymorph of the same formula (meV/atom): 0

=====

(5)
Ti3InP | GGA-PBE | relaxed

abc: 5.0019 5.0019 5.0019
angles: 90.00 90.00 90.00
Last column: nearest neighbours and their distance in Å.
Atoms (fractional coordinates):
In1 0.0000 0.0000 0.0000  6 Ti 2.50
Ti1 0.0000 0.5000 0.0000  2 In 2.50
Ti2 0.0000 0.0000 0.5000  2 In 2.50
Ti3 0.5000 0.0000 0.0000  2 In 2.50
P1 0.5000 0.5000 0.5000  12 Ti 3.54

## Properties
Total energy (eV per atom): -5.12
SG: Pm-3m, No. 221
Theoretical density (g/cm3): 3.840
ΔE_f (eV/atom): 1.25
Distance to the lowest polymorph of the same formula (meV/atom): 1618

=====

(6)
TlInP | GGA-PBE | relaxed

abc: 4.1098 4.1098 5.4894
angles: 90.00 90.00 120.00
Last column: nearest neighbours and their distance in Å.
Atoms (fractional coordinates):
P1 0.6667 0.3333 0.2841  3 In 2.63
Tl1 0.3333 0.6667 0.6386  3 P 3.07, 3 In 3.38
In1 0.0000 0.0000 0.0773  3 P 2.63

## Properties
Total energy (eV per atom): -3.49
SG: P3m1, No. 156
Theoretical density (g/cm3): 7.242
ΔE_f (eV/atom): 0.02
Distance to the lowest polymorph of the same formula (meV/atom): 0